Entry 1:
SmTaOs: optimized geometry, PBE.

```
SmTaOs
1.0
4.4819 0.0000 0.0000
0.0000 4.4819 0.0000
0.0000 0.0000 6.8033
Sm Os Ta
2 2 2
Cartesian
0.0000 2.2410 5.8338
2.2410 0.0000 0.9695
2.2410 0.0000 4.7373
0.0000 2.2410 2.0660
2.2410 2.2410 3.4017
0.0000 0.0000 3.4017
```

Properties
Theoretical density ... 12.7 g cm⁻³
DFT formation energy ... -60 kJ/mol of formula units
Final energy ... -56.8 eV for the cell shown
Energy above the most stable polymorph in this dataset ... 0 meV per atom
M_tot ... 0.00 μB per formula unit


Entry 2:
Ho5ScAg4: optimized geometry, PBE.

```
Ho5ScAg4
1.0
3.5840 0.0000 0.0000
0.0000 3.5840 0.0000
0.0000 0.0000 19.1393
Ag Ho Sc
4 5 1
Cartesian
0.0000 0.0000 4.0361
0.0000 0.0000 7.7429
0.0000 0.0000 15.1032
0.0000 0.0000 11.3964
1.7920 1.7920 13.2579
1.7920 1.7920 16.9303
1.7920 1.7920 5.8814
1.7920 1.7920 9.5696
1.7920 1.7920 2.2090
0.0000 0.0000 0.0000
```

Properties
Theoretical density ... 8.8 g cm⁻³
DFT formation energy ... -237 kJ/mol of formula units
Final energy ... -43.1 eV for the cell shown
M_tot ... 0.00 μB per formula unit


Entry 3:
LaPm2CdN: optimized geometry, PBE.

```
LaPm2CdN
1.0
-1.4042 -4.9074 -0.1869
4.6943 -1.2972 -1.2094
1.1145 -0.5043 4.8668
Pm Cd La N
2 1 1 1
Cartesian
0.5573 -0.2521 2.4334
2.3472 -0.6486 -0.6047
2.2023 -3.3544 1.7352
-0.7021 -2.4537 -0.0935
0.0000 0.0000 0.0000
```

Properties
Theoretical density ... 7.2 g cm⁻³
Raw formation energy ... -69.9 kJ/mol of atoms
Final energy ... -27.3 eV for the cell shown
M_tot ... 0.00 μB per formula unit


Entry 4:
AcTmTe2O: optimized geometry, PBE.

```
AcTmTe2O
1.0
-1.7728 -3.9448 0.1712
2.0235 -1.0688 -3.6738
12.2925 -5.1653 8.2735
Ac Tm Te O
2 2 4 2
Cartesian
6.2358 -4.9651 4.8792
6.1821 -2.7069 1.6430
11.8469 -5.0873 5.4557
0.5710 -2.5848 1.0665
10.3350 -6.6876 7.6382
2.7759 -3.5113 2.5505
2.0829 -0.9845 -1.1159
9.6420 -4.1608 3.9717
6.1463 -2.5826 4.1368
6.2716 -5.0894 2.3855
```

Properties
Theoretical density ... 7.5 g cm⁻³
Raw formation energy ... -203.5 kJ/mol of atoms
Final energy ... -60.7 eV for the cell shown
M_tot ... 0.00 μB per formula unit